# 1
Rb2Sn2Bi: optimized geometry, PBE.

Results
- VASP energy: -2.62 eV/atom
- Theoretical density: 5.09 g cm⁻³
- Energy above the lowest structure with this stoichiometry: 1.61 eV per formula unit
- Crystal system: tetragonal
- ΔH_f (0 K): 0.73 eV per formula unit
- Space group: I4/mmm, No. 139

a = 5.111 Å, b = 5.111 Å, c = 8.520 Å
α = 72.54°, β = 72.54°, γ = 90.00°
Atoms (fractional coordinates):
Sn 0.585 0.585 0.829
Bi 0.000 0.000 0.000
Sn 0.415 0.415 0.171
Rb 0.750 0.250 0.500
Rb 0.250 0.750 0.500

# 2
PbW2Cl: optimized geometry, PBE.

Results
- VASP energy: -6.83 eV/atom
- Theoretical density: 11.25 g cm⁻³
- Energy relative to the elements, uncorrected: 1031 meV/atom
- Energy above the lowest structure with this stoichiometry: 3.29 eV per formula unit
- Crystal system: monoclinic
- Space group: P2/m, No. 10

a = 5.212 Å, b = 3.402 Å, c = 5.079 Å
α = 90.02°, β = 90.00°, γ = 90.00°
Atoms (fractional coordinates):
Pb 0.500 0.750 0.750
Cl 0.500 0.250 0.250
W 0.000 0.485 0.575
W 0.000 0.015 0.925

# 3
Pa3TiGe5: optimized geometry, PBE.

Results
- VASP energy: -7.22 eV/atom
- Theoretical density: 9.98 g cm⁻³
- Crystal system: hexagonal
- ΔH_f (0 K): -5.51 eV per formula unit
- Space group: P6_3/mcm, No. 193

a = 5.781 Å, b = 8.569 Å, c = 8.569 Å
α = 120.00°, β = 90.00°, γ = 90.00°
Atoms (fractional coordinates):
Pa 0.750 0.385 0.000
Ge 0.500 0.333 0.667
Pa 0.250 0.000 0.615
Ge 0.500 0.667 0.333
Ge 0.250 0.738 0.738
Ge 0.000 0.667 0.333
Ti 0.500 0.000 0.000
Pa 0.250 0.385 0.385
Ge 0.250 0.262 0.000
Ge 0.250 0.000 0.262
Pa 0.750 0.000 0.385
Ti 0.000 0.000 0.000
Pa 0.750 0.615 0.615
Ge 0.750 0.000 0.738
Ge 0.000 0.333 0.667
Ge 0.750 0.262 0.262
Ge 0.750 0.738 0.000
Pa 0.250 0.615 0.000

# 4
MgBeAs2Br: optimized geometry, PBE.

Results
- VASP energy: -2.41 eV/atom
- Theoretical density: 3.35 g cm⁻³
- Energy relative to the elements, uncorrected: 849 meV/atom
- Energy above the lowest structure with this stoichiometry: 3.44 eV per formula unit
- Crystal system: tetragonal
- Space group: P4/mmm, No. 123

a = 5.068 Å, b = 5.068 Å, c = 5.081 Å
α = 90.00°, β = 90.00°, γ = 90.00°
Last column: magnetic moment on the atom in μB.
Atoms (fractional coordinates):
Mg 0.000 0.000 0.000  0.00
As 0.000 0.500 0.000  0.15
Be 0.500 0.500 0.500  -0.02
As 0.500 0.000 0.000  0.15
Br 0.000 0.000 0.500  0.08

# 5
La4Cd2Ag: optimized geometry, PBE.

Results
- VASP energy: -3.63 eV/atom
- Theoretical density: 6.46 g cm⁻³
- Crystal system: trigonal
- ΔH_f (0 K): -0.99 eV per formula unit
- Space group: R-3m, No. 166

a = 5.465 Å, b = 5.465 Å, c = 9.370 Å
α = 73.05°, β = 73.05°, γ = 60.00°
Last column: magnetic moment on the atom in μB.
Atoms (fractional coordinates):
Cd 0.750 0.750 0.751  0.01
Cd 0.250 0.250 0.249  0.01
La 0.622 0.622 0.133  0.06
Ag 0.000 0.000 0.000  0.01
La 0.126 0.126 0.621  0.10
La 0.874 0.874 0.379  0.10
La 0.378 0.378 0.867  0.06

# 6
Mo3Os5: optimized geometry, PBE.

Results
- VASP energy: -11.01 eV/atom
- Theoretical density: 17.25 g cm⁻³
- Energy above the lowest structure with this stoichiometry: 0.00 eV per formula unit
- Crystal system: orthorhombic
- ΔH_f (0 K): 0.53 eV per formula unit
- Space group: Cmmm, No. 65

a = 5.533 Å, b = 5.533 Å, c = 3.896 Å
α = 90.00°, β = 90.00°, γ = 90.38°
Atoms (fractional coordinates):
Os 0.000 0.000 0.000
Os 0.753 0.753 0.500
Mo 0.244 0.756 0.500
Os 0.247 0.247 0.500
Os 0.000 0.500 0.000
Mo 0.500 0.500 0.000
Mo 0.756 0.244 0.500
Os 0.500 0.000 0.000